# Sr2LiPd2 (PBE-GGA, relaxed)
data_Sr2LiPd2
_cell_length_a 10.443
_cell_length_b 5.984
_cell_length_c 8.215
_cell_angle_alpha 90.00
_cell_angle_beta 103.12
_cell_angle_gamma 90.00
_symmetry_space_group_name_H-M 'C 1 2/c 1'
_symmetry_Int_Tables_number 15
loop_
_symmetry_equiv_pos_as_xyz
'x,y,z'
'-x,-y,-z'
'-x,y,-z+1/2'
'x,-y,z+1/2'
'x+1/2,y+1/2,z'
'-x+1/2,-y+1/2,-z'
'-x+1/2,y+1/2,-z+1/2'
'x+1/2,-y+1/2,z+1/2'
loop_
_atom_site_label
_atom_site_type_symbol
_atom_site_fract_x
_atom_site_fract_y
_atom_site_fract_z
Sr1 Sr 0.150 0.136 0.151
Li1 Li 0.000 0.393 0.750
Pd1 Pd 0.130 0.366 0.504
# Excess energy over the best structure of this formula in the dataset, eV/atom: 0.0028
# Calculated formation energy, meV per atom: -526
# Total magnetic moment, μB per formula unit: 0.0



# Pr2PuBi3 (PBE-GGA, relaxed)
data_Pr2PuBi3
_cell_length_a 4.617
_cell_length_b 6.516
_cell_length_c 13.810
_cell_angle_alpha 90.00
_cell_angle_beta 90.00
_cell_angle_gamma 90.00
_symmetry_space_group_name_H-M 'I m m m'
_symmetry_Int_Tables_number 71
_symmetry_space_group_name_Hall '-I 2 2'
loop_
_atom_site_label
_atom_site_type_symbol
_atom_site_fract_x
_atom_site_fract_y
_atom_site_fract_z
Pr1 Pr 0.000 0.000 0.168
Pu1 Pu 0.000 0.000 0.500
Bi1 Bi 0.000 0.500 0.162
Bi2 Bi 0.000 0.500 0.500
# Excess energy over the best structure of this formula in the dataset, eV/atom: 0.0035
# Calculated formation energy, meV per atom: -740
# Total magnetic moment, μB per formula unit: 5.1



# TaBePt2I (PBE-GGA, relaxed)
data_TaBePt2I
_cell_length_a 4.326
_cell_length_b 4.326
_cell_length_c 4.690
_cell_angle_alpha 90.00
_cell_angle_beta 90.00
_cell_angle_gamma 90.00
_symmetry_space_group_name_H-M 'P 4/m m m'
_symmetry_Int_Tables_number 123
_symmetry_space_group_name_Hall '-P 4 2'
loop_
_atom_site_label
_atom_site_type_symbol
_atom_site_fract_x
_atom_site_fract_y
_atom_site_fract_z
Ta1 Ta 0.000 0.000 0.000
Be1 Be 0.000 0.000 0.500
Pt1 Pt 0.000 0.500 0.500
I1 I 0.500 0.500 0.000
# Uncorrected formation energy, meV per atom: 565
# Total magnetic moment, μB per formula unit: 1.0



# Na9Br3O2F (PBE-GGA, relaxed)
data_Na9Br3O2F
_cell_length_a 6.6628
_cell_length_b 6.6628
_cell_length_c 8.1745
_cell_angle_alpha 90.00
_cell_angle_beta 90.00
_cell_angle_gamma 120.00
_symmetry_space_group_name_H-M 'P -3 m 1'
_symmetry_Int_Tables_number 164
_symmetry_space_group_name_Hall '-P 3 2"'
loop_
_atom_site_label
_atom_site_type_symbol
_atom_site_fract_x
_atom_site_fract_y
_atom_site_fract_z
Na1 Na 0.0000 0.5000 0.0000
Na2 Na 0.1726 0.3453 0.3234
Br1 Br 0.0000 0.0000 0.0000
Br2 Br 0.3333 0.6667 0.6534
O1 O 0.3333 0.6667 0.1608
F1 F 0.0000 0.0000 0.5000
# Uncorrected formation energy, meV per atom: -1421
# Total magnetic moment, μB per formula unit: 0.0



# Zr2GaCu (PBE-GGA, relaxed)
data_Zr2GaCu
_cell_length_a 4.1388
_cell_length_b 4.1388
_cell_length_c 15.8345
_cell_angle_alpha 90.00
_cell_angle_beta 90.00
_cell_angle_gamma 120.00
_symmetry_space_group_name_H-M 'R 3 m'
_symmetry_Int_Tables_number 160
_symmetry_space_group_name_Hall 'R 3 -2"'
loop_
_atom_site_label
_atom_site_type_symbol
_atom_site_fract_x
_atom_site_fract_y
_atom_site_fract_z
Zr1 Zr 0.0000 0.0000 0.0000
Zr2 Zr 0.0000 0.0000 0.2034
Ga1 Ga 0.0000 0.0000 0.4231
Cu1 Cu 0.0000 0.0000 0.7902
# Calculated formation energy, meV per atom: -124
# Total magnetic moment, μB per formula unit: 0.0



# CsGeS2Cl (PBE-GGA, relaxed)
data_CsGeS2Cl
_cell_length_a 5.443
_cell_length_b 5.443
_cell_length_c 5.970
_cell_angle_alpha 90.00
_cell_angle_beta 90.00
_cell_angle_gamma 90.00
_symmetry_space_group_name_H-M 'P 4/m m m'
_symmetry_Int_Tables_number 123
_symmetry_space_group_name_Hall '-P 4 2'
loop_
_atom_site_label
_atom_site_type_symbol
_atom_site_fract_x
_atom_site_fract_y
_atom_site_fract_z
Cs1 Cs 0.000 0.000 0.000
Ge1 Ge 0.500 0.500 0.500
S1 S 0.000 0.500 0.000
Cl1 Cl 0.000 0.000 0.500
# Uncorrected formation energy, meV per atom: 868
# Excess energy over the best structure of this formula in the dataset, eV/atom: 1.4469
# Total magnetic moment, μB per formula unit: 0.1



# Rb2PaBiS5 (PBE-GGA, relaxed)
data_Rb2PaBiS5
_cell_length_a 4.269
_cell_length_b 17.526
_cell_length_c 15.662
_cell_angle_alpha 90.00
_cell_angle_beta 90.00
_cell_angle_gamma 90.00
_symmetry_space_group_name_H-M 'C m c 21'
_symmetry_Int_Tables_number 36
loop_
_symmetry_equiv_pos_as_xyz
'x,y,z'
'-x,-y,z+1/2'
'-x,y,z'
'x,-y,z+1/2'
'x+1/2,y+1/2,z'
'-x+1/2,-y+1/2,z+1/2'
'-x+1/2,y+1/2,z'
'x+1/2,-y+1/2,z+1/2'
loop_
_atom_site_label
_atom_site_type_symbol
_atom_site_fract_x
_atom_site_fract_y
_atom_site_fract_z
Rb1 Rb 0.000 0.088 0.000
Rb2 Rb 0.000 0.148 0.632
Pa1 Pa 0.000 0.220 0.359
Bi1 Bi 0.000 0.470 0.775
S1 S 0.000 0.071 0.386
S2 S 0.000 0.272 0.964
S3 S 0.000 0.310 0.751
S4 S 0.000 0.361 0.323
S5 S 0.000 0.496 0.120
# Uncorrected formation energy, meV per atom: -1138
# Total magnetic moment, μB per formula unit: 0.0



# PuBeRu2 (PBE-GGA, relaxed)
data_PuBeRu2
_cell_length_a 3.029
_cell_length_b 3.029
_cell_length_c 6.448
_cell_angle_alpha 90.00
_cell_angle_beta 90.00
_cell_angle_gamma 90.00
_symmetry_space_group_name_H-M 'P 4/m m m'
_symmetry_Int_Tables_number 123
_symmetry_space_group_name_Hall '-P 4 2'
loop_
_atom_site_label
_atom_site_type_symbol
_atom_site_fract_x
_atom_site_fract_y
_atom_site_fract_z
Pu1 Pu 0.000 0.000 0.000
Be1 Be 0.000 0.000 0.500
Ru1 Ru 0.500 0.500 0.296
# Excess energy over the best structure of this formula in the dataset, eV/atom: 0.0541
# Calculated formation energy, meV per atom: -40
# Total magnetic moment, μB per formula unit: 3.5



# Tb2Al2Tc2C (PBE-GGA, relaxed)
data_Tb2Al2Tc2C
_cell_length_a 11.462
_cell_length_b 3.447
_cell_length_c 6.684
_cell_angle_alpha 90.00
_cell_angle_beta 108.62
_cell_angle_gamma 90.00
_symmetry_space_group_name_H-M 'C 1 2/m 1'
_symmetry_Int_Tables_number 12
loop_
_symmetry_equiv_pos_as_xyz
'x,y,z'
'-x,-y,-z'
'-x,y,-z'
'x,-y,z'
'x+1/2,y+1/2,z'
'-x+1/2,-y+1/2,-z'
'-x+1/2,y+1/2,-z'
'x+1/2,-y+1/2,z'
loop_
_atom_site_label
_atom_site_type_symbol
_atom_site_fract_x
_atom_site_fract_y
_atom_site_fract_z
Tb1 Tb 0.007 0.000 0.262
Al1 Al 0.198 0.500 0.635
Tc1 Tc 0.180 0.500 0.081
C1 C 0.000 0.500 0.000
# Calculated formation energy, meV per atom: -323
# Total magnetic moment, μB per formula unit: 0.0



Mass density
In order: 5248; 9215; 13380; 2629; 6696; 2865; 4372; 12777; 7696
Unit: kg/m3